! CeErHgOs (PBE-GGA, relaxed); values from VASP
&SYSTEM
  ibrav = 0, nat = 4, ntyp = 4
/
ATOMIC_SPECIES
Ce 140.12 Ce.upf
Er 167.26 Er.upf
Hg 200.59 Hg.upf
Os 190.23 Os.upf
ATOMIC_POSITIONS angstrom
Ce 0.0000 0.0000 0.0000
Er 0.0000 0.0000 4.6766
Hg 1.6803 1.6803 2.4629
Os 1.6803 1.6803 6.3909
CELL_PARAMETERS angstrom
3.3607 0.0000 0.0000
0.0000 3.3607 0.0000
0.0000 0.0000 8.1538
! DOS at the Fermi energy in states/eV per cell: 4.38
! Formation energy in meV per atom: -355
! Offset from the most stable computed form in meV per atom: 0.0
! Symmetry: P4mm, No. 99
! Density in g/cm3: 12.59